Entry 1:
This record from the Alexandria database describes Pm5Ge2Sb after structural relaxation. The functional is PBE-GGA.

The structure in CIF format:
```
data_Pm5Ge2Sb
_chemical_formula_sum 'Pm10 Ge4 Sb2'
_cell_length_a 8.040
_cell_length_b 8.040
_cell_length_c 9.002
_cell_angle_alpha 116.52
_cell_angle_beta 116.52
_cell_angle_gamma 90.00
_space_group_name_H-M_alt 'P 1'
_space_group_IT_number 1
loop_
_space_group_symop_operation_xyz
'x,y,z'
loop_
_atom_site_label
_atom_site_type_symbol
_atom_site_fract_x
_atom_site_fract_y
_atom_site_fract_z
Sb1 Sb 0.250 0.250 0.500
Sb2 Sb 0.750 0.750 0.500
Ge1 Ge 0.141 0.359 0.000
Ge2 Ge 0.641 0.141 0.000
Ge3 Ge 0.359 0.859 0.000
Ge4 Ge 0.859 0.641 0.000
Pm1 Pm 0.982 0.482 0.284
Pm2 Pm 0.482 0.302 0.284
Pm3 Pm 0.302 0.802 0.284
Pm4 Pm 0.698 0.198 0.716
Pm5 Pm 0.518 0.698 0.716
Pm6 Pm 0.500 0.500 0.000
Pm7 Pm 0.000 0.000 0.000
Pm8 Pm 0.198 0.018 0.716
Pm9 Pm 0.018 0.518 0.716
Pm10 Pm 0.802 0.982 0.284
```

Output
- uncorrected formation energy (eV/atom) = -0.795

Entry 2:
This record from the Alexandria database describes MgZn4O5 after structural relaxation. The functional is PBE-GGA.

The structure in CIF format:
```
data_MgZn4O5
_chemical_formula_sum 'Mg2 Zn8 O10'
_cell_length_a 3.294
_cell_length_b 3.294
_cell_length_c 26.355
_cell_angle_alpha 90.00
_cell_angle_beta 90.00
_cell_angle_gamma 120.00
_space_group_name_H-M_alt 'P 1'
_space_group_IT_number 1
loop_
_space_group_symop_operation_xyz
'x,y,z'
loop_
_atom_site_label
_atom_site_type_symbol
_atom_site_fract_x
_atom_site_fract_y
_atom_site_fract_z
O1 O 0.000 0.000 0.298
O2 O 0.333 0.667 0.200
O3 O 0.000 0.000 0.100
O4 O 0.333 0.667 0.002
O5 O 0.333 0.667 0.398
O6 O 0.000 0.000 0.499
O7 O 0.000 0.000 0.700
O8 O 0.333 0.667 0.800
O9 O 0.333 0.667 0.599
O10 O 0.000 0.000 0.901
Zn1 Zn 0.000 0.000 0.977
Zn2 Zn 0.000 0.000 0.575
Zn3 Zn 0.000 0.000 0.176
Zn4 Zn 0.000 0.000 0.776
Zn5 Zn 0.333 0.667 0.877
Zn6 Zn 0.333 0.667 0.475
Zn7 Zn 0.333 0.667 0.676
Zn8 Zn 0.000 0.000 0.374
Mg1 Mg 0.333 0.667 0.078
Mg2 Mg 0.333 0.667 0.276
```

Output
- uncorrected formation energy (eV/atom) = -1.676
- relative energy among the computed polymorphs (eV/atom) = 0.0000

Entry 3:
This record from the Alexandria database describes BaBeP2 after structural relaxation. The functional is PBE-GGA.

The structure in CIF format:
```
data_BaBeP2
_chemical_formula_sum 'Ba1 Be1 P2'
_cell_length_a 4.947
_cell_length_b 4.947
_cell_length_c 4.947
_cell_angle_alpha 60.00
_cell_angle_beta 60.00
_cell_angle_gamma 60.00
_space_group_name_H-M_alt 'P 1'
_space_group_IT_number 1
loop_
_space_group_symop_operation_xyz
'x,y,z'
loop_
_atom_site_label
_atom_site_type_symbol
_atom_site_fract_x
_atom_site_fract_y
_atom_site_fract_z
P1 P 0.250 0.250 0.250
P2 P 0.000 0.000 0.000
Be1 Be 0.750 0.750 0.750
Ba1 Ba 0.500 0.500 0.500
```

Output
- relative energy among the computed polymorphs (eV/atom) = 1.1533
- ΔE_f (kJ/mol of formula units) = 216

Entry 4:
This record from the Alexandria database describes RbMg6Cd after structural relaxation. The functional is PBE-GGA.

The structure in CIF format:
```
data_RbMg6Cd
_chemical_formula_sum 'Rb1 Mg6 Cd1'
_cell_length_a 7.206
_cell_length_b 7.206
_cell_length_c 5.256
_cell_angle_alpha 90.00
_cell_angle_beta 90.00
_cell_angle_gamma 125.37
_space_group_name_H-M_alt 'P 1'
_space_group_IT_number 1
loop_
_space_group_symop_operation_xyz
'x,y,z'
loop_
_atom_site_label
_atom_site_type_symbol
_atom_site_fract_x
_atom_site_fract_y
_atom_site_fract_z
Mg1 Mg 0.836 0.694 0.000
Mg2 Mg 0.188 0.316 0.500
Mg3 Mg 0.191 0.809 0.500
Mg4 Mg 0.306 0.164 0.000
Mg5 Mg 0.684 0.812 0.500
Mg6 Mg 0.364 0.636 0.000
Cd1 Cd 0.629 0.371 0.500
Rb1 Rb 0.803 0.197 0.000
```

Output
- relative energy among the computed polymorphs (eV/atom) = 0.0000
- ΔE_f (kJ/mol of formula units) = 137